Entry 1:
DFT (GGA-PBEsol) results for a relaxed structure of BeCu8.

Geometry as CIF:
```
data_BeCu8
_chemical_formula_sum 'Be2 Cu16'
_symmetry_space_group_name_H-M 'I 4/m m m'
_symmetry_Int_Tables_number 139
_symmetry_space_group_name_Hall '-I 4 2'
_cell_length_a 7.501
_cell_length_b 7.501
_cell_length_c 3.503
_cell_angle_alpha 90.00
_cell_angle_beta 90.00
_cell_angle_gamma 90.00
loop_
_atom_site_label
_atom_site_fract_x
_atom_site_fract_y
_atom_site_fract_z
Be1 0.000 0.000 0.000
Cu1 0.000 0.330 0.000
Cu2 0.163 0.163 0.500
```


Entry 2:
DFT (GGA-PBEsol) results for a relaxed structure of Sr3FeAs.

Geometry as CIF:
```
data_Sr3FeAs
_chemical_formula_sum 'Sr3 Fe1 As1'
_symmetry_space_group_name_H-M 'P m -3 m'
_symmetry_Int_Tables_number 221
_symmetry_space_group_name_Hall '-P 4 2 3'
_cell_length_a 5.876
_cell_length_b 5.876
_cell_length_c 5.876
_cell_angle_alpha 90.00
_cell_angle_beta 90.00
_cell_angle_gamma 90.00
loop_
_atom_site_label
_atom_site_fract_x
_atom_site_fract_y
_atom_site_fract_z
Sr1 0.000 0.000 0.500
Fe1 0.500 0.500 0.500
As1 0.000 0.000 0.000
```


Entry 3:
DFT (GGA-PBEsol) results for a relaxed structure of Mn3AlCu.

Geometry as CIF:
```
data_Mn3AlCu
_chemical_formula_sum 'Mn3 Al1 Cu1'
_symmetry_space_group_name_H-M 'P m -3 m'
_symmetry_Int_Tables_number 221
_symmetry_space_group_name_Hall '-P 4 2 3'
_cell_length_a 4.395
_cell_length_b 4.395
_cell_length_c 4.395
_cell_angle_alpha 90.00
_cell_angle_beta 90.00
_cell_angle_gamma 90.00
loop_
_atom_site_label
_atom_site_fract_x
_atom_site_fract_y
_atom_site_fract_z
Mn1 0.000 0.000 0.500
Al1 0.000 0.000 0.000
Cu1 0.500 0.500 0.500
```


It is found that the energy relative to the elements values, taken in the order of the records, are -1; 20; 134 kJ per mole of atoms.